No. 1
## TbAlZn2 (PBE)

Data for a relaxed TbAlZn2 crystal.

Computed properties:
density of states at the Fermi level: 6.382 states/eV per cell
DFT total energy: -3.027 eV per atom

```
data_TbAlZn2
_chemical_formula_sum 'Tb3 Al3 Zn6'
_cell_length_a 4.3112
_cell_length_b 4.3112
_cell_length_c 14.7149
_cell_angle_alpha 90.00
_cell_angle_beta 90.00
_cell_angle_gamma 120.00
_symmetry_space_group_name_H-M 'R -3 m'
_symmetry_Int_Tables_number 166
_symmetry_space_group_name_Hall '-R 3 2"'
loop_
_atom_site_label
_atom_site_type_symbol
_atom_site_fract_x
_atom_site_fract_y
_atom_site_fract_z
_atom_site_occupancy
Tb1 Tb 0.0000 0.0000 0.0000 1
Al1 Al 0.0000 0.0000 0.5000 1
Zn1 Zn 0.0000 0.0000 0.2171 1
```

No. 2
## Pu4Si2Ge5 (PBE)

Data for a relaxed Pu4Si2Ge5 crystal.

Computed properties:
E_form (uncorrected): -4.78 eV per formula unit
density of states at the Fermi level: 33.728 states/eV per cell
DFT total energy: -8.731 eV per atom

```
data_Pu4Si2Ge5
_chemical_formula_sum 'Pu4 Si2 Ge5'
_cell_length_a 6.837
_cell_length_b 4.222
_cell_length_c 7.991
_cell_angle_alpha 90.00
_cell_angle_beta 90.43
_cell_angle_gamma 90.00
_symmetry_space_group_name_H-M 'P 1 2/m 1'
_symmetry_Int_Tables_number 10
_symmetry_space_group_name_Hall '-P 2y'
loop_
_atom_site_label
_atom_site_type_symbol
_atom_site_fract_x
_atom_site_fract_y
_atom_site_fract_z
_atom_site_occupancy
Pu1 Pu 0.225 0.000 0.366 1
Pu2 Pu 0.243 0.000 0.890 1
Si1 Si 0.087 0.500 0.127 1
Ge1 Ge 0.126 0.500 0.626 1
Ge2 Ge 0.446 0.500 0.159 1
Ge3 Ge 0.500 0.500 0.500 1
```

No. 3
## MoC (PBE)

Data for a relaxed MoC crystal.

Computed properties:
energy above the lowest structure with this stoichiometry: 750 meV per atom
density of states at the Fermi level: 6.882 states/eV per cell
DFT total energy: -9.372 eV per atom

```
data_MoC
_chemical_formula_sum 'Mo3 C3'
_cell_length_a 4.281
_cell_length_b 4.281
_cell_length_c 4.200
_cell_angle_alpha 90.00
_cell_angle_beta 90.00
_cell_angle_gamma 90.00
_symmetry_space_group_name_H-M 'P 4/m m m'
_symmetry_Int_Tables_number 123
_symmetry_space_group_name_Hall '-P 4 2'
loop_
_atom_site_label
_atom_site_type_symbol
_atom_site_fract_x
_atom_site_fract_y
_atom_site_fract_z
_atom_site_occupancy
Mo1 Mo 0.000 0.000 0.000 1
Mo2 Mo 0.000 0.500 0.500 1
C1 C 0.000 0.000 0.500 1
C2 C 0.000 0.500 0.000 1
```

No. 4
## Dy4MgTe5 (PBE)

Data for a relaxed Dy4MgTe5 crystal.

Computed properties:
E_form (uncorrected): -11.74 eV per formula unit
density of states at the Fermi level: 10.385 states/eV per cell
DFT total energy: -4.745 eV per atom

```
data_Dy4MgTe5
_chemical_formula_sum 'Dy8 Mg2 Te10'
_cell_length_a 9.716
_cell_length_b 9.716
_cell_length_c 6.108
_cell_angle_alpha 90.00
_cell_angle_beta 90.00
_cell_angle_gamma 90.00
_symmetry_space_group_name_H-M 'I 4'
_symmetry_Int_Tables_number 79
_symmetry_space_group_name_Hall 'I 4'
loop_
_atom_site_label
_atom_site_type_symbol
_atom_site_fract_x
_atom_site_fract_y
_atom_site_fract_z
_atom_site_occupancy
Dy1 Dy 0.091 0.313 0.000 1
Mg1 Mg 0.000 0.000 0.501 1
Te1 Te 0.000 0.000 0.001 1
Te2 Te 0.102 0.283 0.500 1
```